(1)
Compound: Li3TlBr
Source: Alexandria
Functional: GGA-PBE
Structure: relaxed

The density of states at the Fermi level is 1.9 states/eV/cell. The value obtained for the raw formation energy is -473.4 meV/atom. The value obtained for the energy above the most stable polymorph in this dataset is 0 meV/atom.

Cell and atoms, written as CIF:
```
data_Li3TlBr
_chemical_formula_sum 'Li3 Tl1 Br1'
_cell_length_a 4.927
_cell_length_b 4.927
_cell_length_c 4.927
_cell_angle_alpha 90.00
_cell_angle_beta 90.00
_cell_angle_gamma 90.00
_space_group_name_H-M_alt 'P 1'
_space_group_IT_number 1
_space_group_name_Hall 'P 1'
loop_
_atom_site_label
_atom_site_type_symbol
_atom_site_fract_x
_atom_site_fract_y
_atom_site_fract_z
_atom_site_occupancy
Li1 Li 0.000 0.000 0.500 1
Li2 Li 0.000 0.500 0.000 1
Li3 Li 0.500 0.000 0.000 1
Tl1 Tl 0.500 0.500 0.500 1
Br1 Br 0.000 0.000 0.000 1
```


(2)
Compound: Tb3NdCu4
Source: Alexandria
Functional: GGA-PBE
Structure: relaxed

The density of states at the Fermi level is 5.3 states/eV/cell. The value obtained for the total energy is -4.591 eV per atom.

Cell and atoms, written as CIF:
```
data_Tb3NdCu4
_chemical_formula_sum 'Tb3 Nd1 Cu4'
_cell_length_a 4.974
_cell_length_b 4.974
_cell_length_c 6.998
_cell_angle_alpha 90.00
_cell_angle_beta 90.00
_cell_angle_gamma 90.00
_space_group_name_H-M_alt 'P 1'
_space_group_IT_number 1
_space_group_name_Hall 'P 1'
loop_
_atom_site_label
_atom_site_type_symbol
_atom_site_fract_x
_atom_site_fract_y
_atom_site_fract_z
_atom_site_occupancy
Tb1 Tb 0.000 0.000 0.000 1
Tb2 Tb 0.000 0.000 0.500 1
Tb3 Tb 0.500 0.500 0.000 1
Nd1 Nd 0.500 0.500 0.500 1
Cu1 Cu 0.000 0.500 0.241 1
Cu2 Cu 0.000 0.500 0.759 1
Cu3 Cu 0.500 0.000 0.241 1
Cu4 Cu 0.500 0.000 0.759 1
```


(3)
Compound: HfZr3
Source: Alexandria
Functional: GGA-PBE
Structure: relaxed

The density of states at the Fermi level is 2.7 states/eV/cell. The value obtained for the energy above the most stable polymorph in this dataset is 1 meV/atom.

Cell and atoms, written as CIF:
```
data_HfZr3
_chemical_formula_sum 'Hf1 Zr3'
_cell_length_a 6.070
_cell_length_b 6.070
_cell_length_c 6.070
_cell_angle_alpha 149.17
_cell_angle_beta 64.12
_cell_angle_gamma 125.29
_space_group_name_H-M_alt 'P 1'
_space_group_IT_number 1
_space_group_name_Hall 'P 1'
loop_
_atom_site_label
_atom_site_type_symbol
_atom_site_fract_x
_atom_site_fract_y
_atom_site_fract_z
_atom_site_occupancy
Hf1 Hf 0.000 0.000 0.000 1
Zr1 Zr 0.416 0.667 0.749 1
Zr2 Zr 0.502 0.002 0.500 1
Zr3 Zr 0.919 0.667 0.251 1
```


(4)
Compound: Cs3U2O9
Source: Alexandria
Functional: GGA-PBE
Structure: relaxed

The density of states at the Fermi level is 4.2 states/eV/cell. The value obtained for the raw formation energy is -2202.0 meV/atom.

Cell and atoms, written as CIF:
```
data_Cs3U2O9
_chemical_formula_sum 'Cs3 U2 O9'
_cell_length_a 6.414
_cell_length_b 6.414
_cell_length_c 8.411
_cell_angle_alpha 90.00
_cell_angle_beta 90.00
_cell_angle_gamma 120.00
_space_group_name_H-M_alt 'P 1'
_space_group_IT_number 1
_space_group_name_Hall 'P 1'
loop_
_atom_site_label
_atom_site_type_symbol
_atom_site_fract_x
_atom_site_fract_y
_atom_site_fract_z
_atom_site_occupancy
Cs1 Cs 0.000 0.000 0.000 1
Cs2 Cs 0.333 0.667 0.367 1
Cs3 Cs 0.667 0.333 0.633 1
U1 U 0.333 0.667 0.859 1
U2 U 0.667 0.333 0.141 1
O1 O 0.000 0.500 0.000 1
O2 O 0.191 0.381 0.725 1
O3 O 0.191 0.809 0.725 1
O4 O 0.381 0.191 0.275 1
O5 O 0.500 0.000 0.000 1
O6 O 0.500 0.500 0.000 1
O7 O 0.619 0.809 0.725 1
O8 O 0.809 0.191 0.275 1
O9 O 0.809 0.619 0.275 1
```


(5)
Compound: RbPmAgI6
Source: Alexandria
Functional: GGA-PBE
Structure: relaxed

The density of states at the Fermi level is 5.9 states/eV/cell. The value obtained for the raw formation energy is -962.5 meV/atom.

Cell and atoms, written as CIF:
```
data_RbPmAgI6
_chemical_formula_sum 'Rb1 Pm1 Ag1 I6'
_cell_length_a 7.626
_cell_length_b 7.751
_cell_length_c 8.110
_cell_angle_alpha 93.69
_cell_angle_beta 95.26
_cell_angle_gamma 112.39
_space_group_name_H-M_alt 'P 1'
_space_group_IT_number 1
_space_group_name_Hall 'P 1'
loop_
_atom_site_label
_atom_site_type_symbol
_atom_site_fract_x
_atom_site_fract_y
_atom_site_fract_z
_atom_site_occupancy
Rb1 Rb 0.000 0.000 0.000 1
Pm1 Pm 0.367 0.669 0.506 1
Ag1 Ag 0.745 0.349 0.460 1
I1 I 0.031 0.595 0.233 1
I2 I 0.063 0.341 0.665 1
I3 I 0.403 0.965 0.778 1
I4 I 0.448 0.387 0.249 1
I5 I 0.649 0.971 0.312 1
I6 I 0.665 0.565 0.723 1
```


(6)
Compound: Be2SnN
Source: Alexandria
Functional: GGA-PBE
Structure: relaxed

The density of states at the Fermi level is 2.5 states/eV/cell. The value obtained for the raw formation energy is -222.5 meV/atom. The value obtained for the energy above the most stable polymorph in this dataset is 0 meV/atom.

Cell and atoms, written as CIF:
```
data_Be2SnN
_chemical_formula_sum 'Be4 Sn2 N2'
_cell_length_a 5.372
_cell_length_b 5.372
_cell_length_c 5.372
_cell_angle_alpha 121.37
_cell_angle_beta 121.37
_cell_angle_gamma 87.64
_space_group_name_H-M_alt 'P 1'
_space_group_IT_number 1
_space_group_name_Hall 'P 1'
loop_
_atom_site_label
_atom_site_type_symbol
_atom_site_fract_x
_atom_site_fract_y
_atom_site_fract_z
_atom_site_occupancy
Be1 Be 0.375 0.188 0.313 1
Be2 Be 0.812 0.125 0.187 1
Be3 Be 0.875 0.062 0.687 1
Be4 Be 0.938 0.625 0.813 1
Sn1 Sn 0.250 0.750 0.500 1
Sn2 Sn 0.500 0.500 0.000 1
N1 N 0.000 0.000 0.000 1
N2 N 0.750 0.250 0.500 1
```